Record 1
{"formula": "HoAlGa3", "functional": "PBE", "state": "relaxed", "cell": [[-0.525, 0.705, 2.884], [-2.792, -4.799, 0.665], [10.101, -5.438, 3.169]], "species": ["Ho", "Ho", "Al", "Al", "Ga", "Ga", "Ga", "Ga", "Ga", "Ga"], "fractional_positions": [[0.000, 0.250, 0.805], [0.000, 0.750, 0.195], [0.500, 0.250, 0.201], [0.500, 0.750, 0.799], [0.500, 0.492, 0.606], [0.500, 0.000, 0.000], [0.500, 0.008, 0.606], [0.500, 0.508, 0.394], [0.500, 0.500, 0.000], [0.500, 0.992, 0.394]], "relative_energy_kj_per_mol_atoms": 0.0}

=====

Record 2
{"formula": "HoAl4Ga2", "functional": "PBE", "state": "relaxed", "cell": [[0.541, 5.175, -2.106], [-0.245, -2.092, -5.203], [-5.013, -1.025, 3.676]], "species": ["Ho", "Ga", "Ga", "Al", "Al", "Al", "Al"], "fractional_positions": [[0.000, 0.000, 0.000], [0.643, 0.643, 0.285], [0.357, 0.357, 0.715], [0.750, 0.250, 0.500], [0.250, 0.750, 0.500], [0.500, 0.000, 0.000], [0.000, 0.500, 0.000]]}

=====

Record 3
{"formula": "Ho12Al3Ga5", "functional": "PBE", "state": "relaxed", "cell": [[-6.971, 2.678, 12.777], [-8.443, -8.689, -8.500], [12.872, -6.774, 2.729]], "species": ["Al", "Al", "Al", "Al", "Al", "Al", "Al", "Al", "Al", "Al", "Al", "Al", "Ga", "Ga", "Ga", "Ga", "Ga", "Ga", "Ga", "Ga", "Ga", "Ga", "Ga", "Ga", "Ga", "Ga", "Ga", "Ga", "Ga", "Ga", "Ga", "Ga", "Ho", "Ho", "Ho", "Ho", "Ho", "Ho", "Ho", "Ho", "Ho", "Ho", "Ho", "Ho", "Ho", "Ho", "Ho", "Ho", "Ho", "Ho", "Ho", "Ho", "Ho", "Ho", "Ho", "Ho", "Ho", "Ho", "Ho", "Ho", "Ho", "Ho", "Ho", "Ho", "Ho", "Ho", "Ho", "Ho", "Ho", "Ho", "Ho", "Ho", "Ho", "Ho", "Ho", "Ho", "Ho", "Ho", "Ho", "Ho"], "fractional_positions": [[0.750, 0.375, 0.125], [0.875, 0.750, 0.125], [0.375, 0.750, 0.625], [0.250, 0.125, 0.375], [0.875, 0.125, 0.250], [0.375, 0.625, 0.250], [0.625, 0.375, 0.750], [0.125, 0.875, 0.750], [0.750, 0.875, 0.625], [0.625, 0.250, 0.375], [0.125, 0.250, 0.875], [0.250, 0.625, 0.875], [0.125, 0.375, 0.250], [0.000, 0.500, 0.000], [0.000, 0.000, 0.000], [0.375, 0.250, 0.125], [0.500, 0.000, 0.500], [0.500, 0.500, 0.000], [0.125, 0.750, 0.375], [0.750, 0.125, 0.875], [0.750, 0.625, 0.375], [0.375, 0.125, 0.750], [0.625, 0.875, 0.250], [0.500, 0.500, 0.500], [0.500, 0.000, 0.000], [0.000, 0.000, 0.500], [0.250, 0.375, 0.625], [0.250, 0.875, 0.125], [0.000, 0.500, 0.500], [0.875, 0.250, 0.625], [0.625, 0.750, 0.875], [0.875, 0.625, 0.750], [0.719, 0.128, 0.051], [0.332, 0.551, 0.423], [0.949, 0.372, 0.281], [0.551, 0.219, 0.128], [0.591, 0.719, 0.668], [0.949, 0.577, 0.168], [0.332, 0.781, 0.409], [0.077, 0.909, 0.128], [0.577, 0.949, 0.668], [0.719, 0.591, 0.168], [0.781, 0.449, 0.372], [0.832, 0.923, 0.051], [0.128, 0.719, 0.551], [0.372, 0.423, 0.091], [0.091, 0.923, 0.372], [0.409, 0.128, 0.577], [0.091, 0.168, 0.219], [0.449, 0.668, 0.077], [0.832, 0.909, 0.281], [0.128, 0.409, 0.077], [0.372, 0.949, 0.781], [0.577, 0.628, 0.409], [0.923, 0.832, 0.551], [0.781, 0.332, 0.909], [0.423, 0.372, 0.591], [0.077, 0.168, 0.449], [0.219, 0.668, 0.091], [0.168, 0.091, 0.719], [0.628, 0.051, 0.219], [0.872, 0.591, 0.923], [0.551, 0.332, 0.923], [0.591, 0.872, 0.423], [0.909, 0.832, 0.781], [0.909, 0.077, 0.628], [0.872, 0.281, 0.449], [0.168, 0.077, 0.949], [0.628, 0.577, 0.909], [0.423, 0.051, 0.332], [0.281, 0.409, 0.832], [0.219, 0.551, 0.628], [0.923, 0.091, 0.872], [0.668, 0.219, 0.591], [0.449, 0.781, 0.872], [0.051, 0.423, 0.832], [0.409, 0.281, 0.332], [0.051, 0.628, 0.719], [0.668, 0.449, 0.577], [0.281, 0.872, 0.949]]}

=====

Record 4
{"formula": "Ho2Al15Ga2", "functional": "PBE", "state": "relaxed", "cell": [[-5.703, 4.360, 0.509], [-2.573, -3.332, 5.837], [3.297, 4.495, 4.553]], "species": ["Ho", "Ho", "Al", "Al", "Al", "Al", "Al", "Al", "Al", "Al", "Al", "Al", "Al", "Al", "Al", "Al", "Al", "Ga", "Ga"], "fractional_positions": [[0.874, 0.874, 0.874], [0.126, 0.126, 0.126], [0.000, 0.500, 0.000], [0.000, 0.000, 0.500], [0.500, 0.000, 0.000], [0.282, 0.000, 0.718], [0.718, 0.282, 0.000], [0.000, 0.718, 0.282], [0.282, 0.718, 0.000], [0.000, 0.282, 0.718], [0.718, 0.000, 0.282], [0.368, 0.847, 0.368], [0.368, 0.368, 0.847], [0.847, 0.368, 0.368], [0.632, 0.153, 0.632], [0.632, 0.632, 0.153], [0.153, 0.632, 0.632], [0.624, 0.624, 0.624], [0.376, 0.376, 0.376]]}

=====

Record 5
{"formula": "HoAlGa2", "functional": "PBE", "state": "relaxed", "cell": [[4.298, 0.000, 0.000], [2.149, 3.722, 0.000], [2.149, 1.241, 5.052]], "species": ["Ho", "Ga", "Ga", "Al"], "fractional_positions": [[0.500, 0.500, 0.500], [0.276, 0.276, 0.172], [0.724, 0.724, 0.828], [0.000, 0.000, 0.000]]}

=====

Record 6
{"formula": "Ho2AlGa6", "functional": "PBE", "state": "relaxed", "cell": [[0.235, -4.403, -3.559], [5.723, 1.123, -1.011], [-1.570, -3.638, 4.397]], "species": ["Ho", "Ho", "Al", "Ga", "Ga", "Ga", "Ga", "Ga", "Ga"], "fractional_positions": [[0.143, 0.667, 0.333], [0.857, 0.333, 0.667], [0.000, 0.000, 0.000], [0.669, 0.820, 0.180], [0.669, 0.820, 0.640], [0.669, 0.360, 0.180], [0.331, 0.180, 0.820], [0.331, 0.180, 0.360], [0.331, 0.640, 0.820]], "relative_energy_kj_per_mol_atoms": 0.0}

=====

Record 7
{"formula": "HoAl2Ga", "functional": "PBE", "state": "relaxed", "cell": [[4.304, 0.000, 0.000], [0.000, 4.218, 0.000], [0.000, 0.000, 4.218]], "species": ["Ho", "Ga", "Al", "Al"], "fractional_positions": [[0.500, 0.500, 0.500], [0.500, 0.000, 0.000], [0.000, 0.000, 0.500], [0.000, 0.500, 0.000]]}

=====

Record 8
{"formula": "HoAlGa3", "functional": "PBE", "state": "relaxed", "cell": [[4.745, 0.000, 0.000], [0.000, 6.379, 0.000], [0.000, 0.000, 6.571]], "species": ["Ho", "Ho", "Al", "Al", "Ga", "Ga", "Ga", "Ga", "Ga", "Ga"], "fractional_positions": [[0.500, 0.000, 0.199], [0.000, 0.500, 0.801], [0.000, 0.000, 0.532], [0.500, 0.500, 0.468], [0.000, 0.695, 0.269], [0.500, 0.805, 0.731], [0.500, 0.195, 0.731], [0.000, 0.305, 0.269], [0.000, 0.000, 0.911], [0.500, 0.500, 0.089]], "relative_energy_kj_per_mol_atoms": 1.0}

=====

Number 1: formation enthalpy at 0 K -1.231 eV/f.u.. Number 2: formation enthalpy at 0 K 1.635 eV/f.u.. Number 3: formation enthalpy at 0 K 2.146 eV/f.u.. Number 4: formation enthalpy at 0 K -0.240 eV/f.u.. Number 5: formation enthalpy at 0 K -1.537 eV/f.u.. Number 6: formation enthalpy at 0 K -4.087 eV/f.u.. Number 7: formation enthalpy at 0 K -1.801 eV/f.u.. Number 8: formation enthalpy at 0 K -1.178 eV/f.u..